First-principles (PBE+U) data for an optimized crystal structure of BeMoI2O, as listed in the Alexandria database.

Properties
DOS at the Fermi energy	0.558	states/eV per atom
total magnetization	2.15	μB/f.u.
electronic total energy	-18.06	eV per cell

a = 5.899 Å, b = 5.899 Å, c = 3.883 Å
α = 90.00°, β = 90.00°, γ = 90.00°
Site moments in Bohr magnetons follow the coordinates.
Sites, in units of the cell vectors:
Mo1 0.000 0.000 0.000  2.72
O1 0.000 0.000 0.500  -0.23
I1 0.000 0.500 0.000  -0.06
I2 0.500 0.000 0.000  -0.06
Be1 0.500 0.500 0.500  -0.17